1.
## TmCu6 (GGA-PBE)

Data for crystalline TmCu6 at its relaxed geometry.

Properties
Polymorph energy (0 for the lowest one), eV per atom: 1.0824
E_form, eV/atom: 0.920

Structure (POSCAR):
```
TmCu6
1.0
5.486 0.000 0.000
0.000 5.486 0.000
0.000 0.000 5.486
Tm Cu
1 6
Direct
0.000 0.000 0.000
0.198 0.500 0.500
0.500 0.198 0.500
0.500 0.500 0.198
0.500 0.500 0.802
0.500 0.802 0.500
0.802 0.500 0.500
```

=====

2.
## ZnRhSeBr2 (GGA-PBE)

Data for crystalline ZnRhSeBr2 at its relaxed geometry.

Properties
Polymorph energy (0 for the lowest one), eV per atom: 0.4245
E_form (uncorrected), eV/f.u.: 2.850

Structure (POSCAR):
```
ZnRhSeBr2
1.0
5.095 0.000 0.000
0.000 5.095 0.000
0.000 0.000 4.974
Zn Rh Se Br
1 1 1 2
Direct
0.000 0.000 0.000
0.500 0.500 0.500
0.000 0.000 0.500
0.000 0.500 0.000
0.500 0.000 0.000
```

=====

3.
## NaTlPS2 (GGA-PBE)

Data for crystalline NaTlPS2 at its relaxed geometry.

Properties
Polymorph energy (0 for the lowest one), eV per atom: 0.0000
E_form (uncorrected), eV/f.u.: 2.522

Structure (POSCAR):
```
NaTlPS2
1.0
5.299 0.000 0.000
0.000 5.299 0.000
0.000 0.000 5.179
Na Tl P S
1 1 1 2
Direct
0.000 0.000 0.000
0.500 0.500 0.500
0.500 0.500 0.000
0.000 0.500 0.500
0.500 0.000 0.500
```

=====

4.
## CaCr2W (GGA-PBE)

Data for crystalline CaCr2W at its relaxed geometry.

Properties
Polymorph energy (0 for the lowest one), eV per atom: 0.2566
E_form, eV/atom: 0.799

Structure (POSCAR):
```
CaCr2W
1.0
-1.454 2.376 4.761
1.454 -2.376 4.761
1.454 2.376 -4.761
Ca Cr W
1 2 1
Direct
0.000 0.000 0.000
0.547 0.547 0.000
0.727 0.227 0.500
0.285 0.785 0.500
```

=====

5.
## Ac8SiGe3Br4 (GGA-PBE)

Data for crystalline Ac8SiGe3Br4 at its relaxed geometry.

Properties
E_form (uncorrected), eV/f.u.: -17.902

Structure (POSCAR):
```
Ac8SiGe3Br4
1.0
4.616 2.665 7.515
-4.616 2.665 7.515
0.000 -5.330 7.515
Ac Si Ge Br
8 1 3 4
Direct
0.240 0.240 0.240
0.242 0.738 0.738
0.262 0.262 0.758
0.262 0.758 0.262
0.738 0.242 0.738
0.738 0.738 0.242
0.758 0.262 0.262
0.760 0.760 0.760
0.500 0.500 0.500
0.000 0.000 0.500
0.000 0.500 0.000
0.500 0.000 0.000
0.000 0.000 0.000
0.000 0.500 0.500
0.500 0.000 0.500
0.500 0.500 0.000
```

=====

The DOS at the Fermi energy results, record by record, are as follows: 0.93; 1.53; 0.75; 0.93; 0.46 states/eV/atom.
The calculated total energy results, record by record, are as follows: -22.61; -12.61; -14.83; -31.00; -76.74 eV/cell.